# Sr2BeVO6 | Alexandria | GGA+U | optimized geometry
# - DOS(E_F): 0.364 states/eV/atom
# - E_tot: -0.246 hartree per atom
data_Sr2BeVO6
_space_group_name_H-M_alt 'P 1'
_space_group_IT_number 1
_space_group_name_Hall 'P 1'
_cell_length_a 5.434
_cell_length_b 5.434
_cell_length_c 9.494
_cell_angle_alpha 73.37
_cell_angle_beta 73.37
_cell_angle_gamma 60.00
loop_
_atom_site_label
_atom_site_type_symbol
_atom_site_fract_x
_atom_site_fract_y
_atom_site_fract_z
Sr1 Sr 0.285 0.285 0.145
Sr2 Sr 0.868 0.868 0.395
Sr3 Sr 0.715 0.715 0.855
Sr4 Sr 0.132 0.132 0.605
V1 V 0.406 0.406 0.781
V2 V 0.594 0.594 0.219
O1 O 0.205 0.205 0.880
O2 O 0.390 0.849 0.372
O3 O 0.795 0.795 0.120
O4 O 0.610 0.151 0.628
O5 O 0.291 0.795 0.120
O6 O 0.205 0.709 0.880
O7 O 0.795 0.291 0.120
O8 O 0.151 0.610 0.628
O9 O 0.849 0.390 0.372
O10 O 0.709 0.205 0.880
O11 O 0.610 0.610 0.628
O12 O 0.390 0.390 0.372
Be1 Be 0.500 0.500 0.500
Be2 Be 0.000 0.000 0.000